Below is crystalline NpB2Rh7 at its relaxed geometry, with properties calculated at the GGA-PBE level.

Output
energy of formation from the pure elements = -0.042 eV per atom
D(E_F) = 16.69 states/eV per cell
symmetry = Cmmm

a = 4.0650 Å, b = 6.3305 Å, c = 6.3305 Å
α = 112.31°, β = 90.00°, γ = 90.00°
Last column: nearest neighbours and their distance in Å.
Fractional coordinates of all 10 atoms:
Rh1 0.5000 0.0567 0.3199  2 B 2.17-2.33
Rh2 0.5000 0.6801 0.9433  2 B 2.17-2.33
Rh3 0.0000 0.6920 0.3080  2 B 2.04
Rh4 0.5000 0.5000 0.5000  2 B 2.16
Rh5 0.0000 0.3080 0.6920  2 B 2.04
Rh6 0.5000 0.3199 0.0567  2 B 2.17-2.33
Rh7 0.5000 0.9433 0.6801  2 B 2.17-2.33
B1 0.5000 0.7052 0.2948  5 Rh 2.04-2.17
B2 0.5000 0.2948 0.7052  5 Rh 2.04-2.17
Np1 0.0000 0.0000 0.0000  8 Rh 2.79

***

Below is crystalline NpB4Rh4 at its relaxed geometry, with properties calculated at the GGA-PBE level.

Output
energy of formation from the pure elements = -0.380 eV per atom
D(E_F) = 27.51 states/eV per cell
symmetry = P4_2/nmc

a = 5.3309 Å, b = 5.3309 Å, c = 7.5428 Å
α = 90.00°, β = 90.00°, γ = 90.00°
Last column: nearest neighbours and their distance in Å.
Fractional coordinates of all 18 atoms:
Rh1 0.5000 0.7511 0.1476  5 B 2.22-2.26
Rh2 0.7489 0.0000 0.6476  5 B 2.22-2.26
Rh3 0.2511 0.0000 0.6476  5 B 2.22-2.26
Rh4 0.0000 0.7489 0.3524  5 B 2.22-2.26
Rh5 0.7511 0.5000 0.8524  5 B 2.22-2.26
Rh6 0.5000 0.2489 0.1476  5 B 2.22-2.26
Rh7 0.2489 0.5000 0.8524  5 B 2.22-2.26
Rh8 0.0000 0.2511 0.3524  5 B 2.22-2.26
B1 0.0000 0.6671 0.6466  1 B 1.78
B2 0.8329 0.5000 0.1466  1 B 1.78
B3 0.1671 0.5000 0.1466  1 B 1.78
B4 0.3329 0.0000 0.3534  1 B 1.78
B5 0.6671 0.0000 0.3534  1 B 1.78
B6 0.5000 0.8329 0.8534  1 B 1.78
B7 0.0000 0.3329 0.6466  1 B 1.78
B8 0.5000 0.1671 0.8534  1 B 1.78
Np1 0.0000 0.0000 0.0000  12 Rh 2.98-3.18, 12 B 3.02-3.20
Np2 0.5000 0.5000 0.5000  12 Rh 2.98-3.18, 12 B 3.02-3.20

***

Below is crystalline Np2ZnB2Rh5 at its relaxed geometry, with properties calculated at the GGA-PBE level.

Output
energy of formation from the pure elements = -0.438 eV per atom
D(E_F) = 40.22 states/eV per cell
symmetry = P4/mbm

a = 3.1830 Å, b = 9.5615 Å, c = 9.5615 Å
α = 90.00°, β = 90.00°, γ = 90.00°
Last column: nearest neighbours and their distance in Å.
Fractional coordinates of all 20 atoms:
Rh1 0.5000 0.5690 0.7204  2 B 2.25
Rh2 0.5000 0.9310 0.2204  2 B 2.25
Rh3 0.5000 0.5000 0.0000  4 B 2.30
Rh4 0.5000 0.0000 0.5000  4 B 2.30
Rh5 0.5000 0.0690 0.7796  2 B 2.25
Rh6 0.5000 0.7796 0.9310  2 B 2.25
Rh7 0.5000 0.2796 0.5690  2 B 2.25
Rh8 0.5000 0.4310 0.2796  2 B 2.25
Rh9 0.5000 0.2204 0.0690  2 B 2.25
Rh10 0.5000 0.7204 0.4310  2 B 2.25
Np1 0.0000 0.8223 0.6777  3 B 2.70-2.92, 10 Rh 2.88-3.01
Np2 0.0000 0.1777 0.3223  3 B 2.70-2.92, 10 Rh 2.88-3.01
Np3 0.0000 0.6777 0.1777  3 B 2.70-2.92, 10 Rh 2.88-3.01
Np4 0.0000 0.3223 0.8223  3 B 2.70-2.92, 10 Rh 2.88-3.01
B1 0.0000 0.1223 0.6223  6 Rh 2.25-2.30
B2 0.0000 0.3777 0.1223  6 Rh 2.25-2.30
B3 0.0000 0.8777 0.3777  6 Rh 2.25-2.30
B4 0.0000 0.6223 0.8777  6 Rh 2.25-2.30
Zn1 0.0000 0.0000 0.0000  8 Rh 2.72
Zn2 0.0000 0.5000 0.5000  8 Rh 2.72

***

Below is crystalline Np2B7Ru12 at its relaxed geometry, with properties calculated at the GGA-PBE level.

Output
energy of formation from the pure elements = -0.108 eV per atom
D(E_F) = 20.93 states/eV per cell
symmetry = P-6

a = 2.8500 Å, b = 10.2787 Å, c = 10.2788 Å
α = 120.00°, β = 90.00°, γ = 90.00°
Last column: nearest neighbours and their distance in Å.
Fractional coordinates of all 21 atoms:
Np1 0.5000 0.0000 0.0000  2 Np 2.85, 6 Ru 2.91, 6 B 2.95
Np2 0.0000 0.6667 0.3333  6 B 2.76, 2 Np 2.85
Ru1 0.0000 0.2498 0.0064  3 B 2.10-2.19
Ru2 0.0000 0.4835 0.9730  2 B 2.17
Ru3 0.5000 0.7348 0.0916  3 B 2.10-2.19
Ru4 0.0000 0.0270 0.5105  2 B 2.17
Ru5 0.0000 0.7566 0.7502  3 B 2.10-2.19
Ru6 0.5000 0.2287 0.7591  4 B 2.26-2.33
Ru7 0.5000 0.5303 0.7712  4 B 2.26-2.33
Ru8 0.5000 0.3567 0.2652  3 B 2.10-2.19
Ru9 0.0000 0.4894 0.5165  2 B 2.17
Ru10 0.5000 0.9085 0.6433  3 B 2.10-2.19
Ru11 0.0000 0.9936 0.2434  3 B 2.10-2.19
Ru12 0.5000 0.2409 0.4697  4 B 2.26-2.33
B1 0.5000 0.6666 0.5630  5 Ru 2.17-2.19
B2 0.0000 0.0647 0.7872  5 Ru 2.10-2.33
B3 0.5000 0.8964 0.3334  5 Ru 2.17-2.19
B4 0.0000 0.3333 0.6667  6 Ru 2.26
B5 0.0000 0.7225 0.9353  5 Ru 2.10-2.33
B6 0.5000 0.4370 0.1036  5 Ru 2.17-2.19
B7 0.0000 0.2128 0.2775  5 Ru 2.10-2.33

***

Below is crystalline NpB2Ru at its relaxed geometry, with properties calculated at the GGA-PBE level.

Output
energy of formation from the pure elements = 0.077 eV per atom
D(E_F) = 3.87 states/eV per cell
symmetry = R-3m

a = 3.2147 Å, b = 3.2147 Å, c = 6.0338 Å
α = 74.55°, β = 74.55°, γ = 60.00°
Last column: nearest neighbours and their distance in Å.
Fractional coordinates of all 4 atoms:
Ru1 0.0000 0.0000 0.0000  6 B 2.18
Np1 0.5000 0.5000 0.5000  6 B 2.54
B1 0.2671 0.2671 0.1988  3 Ru 2.18
B2 0.7329 0.7329 0.8012  3 Ru 2.18

***

Below is crystalline NpB6Ru2 at its relaxed geometry, with properties calculated at the GGA-PBE level.

Output
energy of formation from the pure elements = -0.128 eV per atom
D(E_F) = 7.72 states/eV per cell
symmetry = C2/m

a = 3.6010 Å, b = 5.2872 Å, c = 5.3536 Å
α = 119.59°, β = 94.35°, γ = 90.00°
Last column: nearest neighbours and their distance in Å.
Fractional coordinates of all 9 atoms:
B1 0.5462 0.3456 0.3374  3 B 1.76-1.87
B2 0.5462 0.9919 0.3374  3 B 1.76-1.87
B3 0.4538 0.0081 0.6626  3 B 1.76-1.87
B4 0.5000 0.6621 0.0000  3 B 1.71-1.78
B5 0.5000 0.3379 0.0000  3 B 1.71-1.78
B6 0.4538 0.6544 0.6626  3 B 1.76-1.87
Np1 0.0000 0.0000 0.0000  12 B 2.54-2.58
Ru1 0.0838 0.6526 0.3052  6 B 2.24-2.38
Ru2 0.9162 0.3474 0.6948  6 B 2.24-2.38

***

Which value of D(E_F) does entry 3 give?
40.22 states/eV per cell

***

Which of these has the highest energy of formation from the pure elements?
NpB2Ru

***

Please write out number 5 again, unchanged.
Below is crystalline NpB2Ru at its relaxed geometry, with properties calculated at the GGA-PBE level.

Output
energy of formation from the pure elements = 0.077 eV per atom
D(E_F) = 3.87 states/eV per cell
symmetry = R-3m

a = 3.2147 Å, b = 3.2147 Å, c = 6.0338 Å
α = 74.55°, β = 74.55°, γ = 60.00°
Last column: nearest neighbours and their distance in Å.
Fractional coordinates of all 4 atoms:
Ru1 0.0000 0.0000 0.0000  6 B 2.18
Np1 0.5000 0.5000 0.5000  6 B 2.54
B1 0.2671 0.2671 0.1988  3 Ru 2.18
B2 0.7329 0.7329 0.8012  3 Ru 2.18

***

Repeat the second record exactly.
Below is crystalline NpB4Rh4 at its relaxed geometry, with properties calculated at the GGA-PBE level.

Output
energy of formation from the pure elements = -0.380 eV per atom
D(E_F) = 27.51 states/eV per cell
symmetry = P4_2/nmc

a = 5.3309 Å, b = 5.3309 Å, c = 7.5428 Å
α = 90.00°, β = 90.00°, γ = 90.00°
Last column: nearest neighbours and their distance in Å.
Fractional coordinates of all 18 atoms:
Rh1 0.5000 0.7511 0.1476  5 B 2.22-2.26
Rh2 0.7489 0.0000 0.6476  5 B 2.22-2.26
Rh3 0.2511 0.0000 0.6476  5 B 2.22-2.26
Rh4 0.0000 0.7489 0.3524  5 B 2.22-2.26
Rh5 0.7511 0.5000 0.8524  5 B 2.22-2.26
Rh6 0.5000 0.2489 0.1476  5 B 2.22-2.26
Rh7 0.2489 0.5000 0.8524  5 B 2.22-2.26
Rh8 0.0000 0.2511 0.3524  5 B 2.22-2.26
B1 0.0000 0.6671 0.6466  1 B 1.78
B2 0.8329 0.5000 0.1466  1 B 1.78
B3 0.1671 0.5000 0.1466  1 B 1.78
B4 0.3329 0.0000 0.3534  1 B 1.78
B5 0.6671 0.0000 0.3534  1 B 1.78
B6 0.5000 0.8329 0.8534  1 B 1.78
B7 0.0000 0.3329 0.6466  1 B 1.78
B8 0.5000 0.1671 0.8534  1 B 1.78
Np1 0.0000 0.0000 0.0000  12 Rh 2.98-3.18, 12 B 3.02-3.20
Np2 0.5000 0.5000 0.5000  12 Rh 2.98-3.18, 12 B 3.02-3.20